--- A ---
A plane-wave DFT calculation with GGA-PBE was carried out for a relaxed structure of BaI2BrN.

```
data_BaI2BrN
_chemical_formula_sum 'Ba1 I2 Br1 N1'
_cell_length_a 6.822
_cell_length_b 6.822
_cell_length_c 5.467
_cell_angle_alpha 90.00
_cell_angle_beta 90.00
_cell_angle_gamma 90.00
_symmetry_space_group_name_H-M 'P 4/m m m'
_symmetry_Int_Tables_number 123
_symmetry_space_group_name_Hall '-P 4 2'
loop_
_atom_site_label
_atom_site_type_symbol
_atom_site_fract_x
_atom_site_fract_y
_atom_site_fract_z
Ba1 Ba 0.000 0.000 0.000
I1 I 0.000 0.500 0.000
Br1 Br 0.500 0.500 0.500
N1 N 0.000 0.000 0.500
```

--- B ---
A plane-wave DFT calculation with GGA-PBE was carried out for a relaxed structure of BaI2BrN.

```
data_BaI2BrN
_chemical_formula_sum 'Ba1 I2 Br1 N1'
_cell_length_a 6.645
_cell_length_b 6.645
_cell_length_c 3.910
_cell_angle_alpha 90.00
_cell_angle_beta 90.00
_cell_angle_gamma 90.00
_symmetry_space_group_name_H-M 'P 4/m m m'
_symmetry_Int_Tables_number 123
_symmetry_space_group_name_Hall '-P 4 2'
loop_
_atom_site_label
_atom_site_type_symbol
_atom_site_fract_x
_atom_site_fract_y
_atom_site_fract_z
Ba1 Ba 0.000 0.000 0.000
I1 I 0.000 0.500 0.500
Br1 Br 0.500 0.500 0.500
N1 N 0.500 0.500 0.000
```

So which one is most stable? That would be B, about 9.3 kJ/mol of atoms below the next structure.

--- A ---
A plane-wave DFT calculation with GGA-PBE was carried out for a relaxed structure of BaIBrN2.

```
data_BaIBrN2
_chemical_formula_sum 'Ba1 I1 Br1 N2'
_cell_length_a 5.439
_cell_length_b 5.439
_cell_length_c 6.874
_cell_angle_alpha 90.00
_cell_angle_beta 90.00
_cell_angle_gamma 90.00
_symmetry_space_group_name_H-M 'P 4/m m m'
_symmetry_Int_Tables_number 123
_symmetry_space_group_name_Hall '-P 4 2'
loop_
_atom_site_label
_atom_site_type_symbol
_atom_site_fract_x
_atom_site_fract_y
_atom_site_fract_z
Ba1 Ba 0.000 0.000 0.000
I1 I 0.000 0.000 0.500
Br1 Br 0.500 0.500 0.500
N1 N 0.000 0.500 0.000
```

--- B ---
A plane-wave DFT calculation with GGA-PBE was carried out for a relaxed structure of BaIBrN2.

```
data_BaIBrN2
_chemical_formula_sum 'Ba1 I1 Br1 N2'
_cell_length_a 4.723
_cell_length_b 4.723
_cell_length_c 5.457
_cell_angle_alpha 90.00
_cell_angle_beta 90.00
_cell_angle_gamma 90.00
_symmetry_space_group_name_H-M 'P 4/m m m'
_symmetry_Int_Tables_number 123
_symmetry_space_group_name_Hall '-P 4 2'
loop_
_atom_site_label
_atom_site_type_symbol
_atom_site_fract_x
_atom_site_fract_y
_atom_site_fract_z
Ba1 Ba 0.000 0.000 0.000
I1 I 0.500 0.500 0.000
Br1 Br 0.500 0.500 0.500
N1 N 0.000 0.500 0.500
```

So which one is most stable? That would be A, about 11.0 kJ/mol of atoms below the next structure.

--- A ---
A plane-wave DFT calculation with GGA-PBE was carried out for a relaxed structure of BaSb2IBr.

```
data_BaSb2IBr
_chemical_formula_sum 'Ba1 Sb2 I1 Br1'
_cell_length_a 7.033
_cell_length_b 7.033
_cell_length_c 6.466
_cell_angle_alpha 90.00
_cell_angle_beta 90.00
_cell_angle_gamma 90.00
_symmetry_space_group_name_H-M 'P 4/m m m'
_symmetry_Int_Tables_number 123
_symmetry_space_group_name_Hall '-P 4 2'
loop_
_atom_site_label
_atom_site_type_symbol
_atom_site_fract_x
_atom_site_fract_y
_atom_site_fract_z
Ba1 Ba 0.000 0.000 0.000
Sb1 Sb 0.000 0.500 0.000
I1 I 0.000 0.000 0.500
Br1 Br 0.500 0.500 0.500
```

--- B ---
A plane-wave DFT calculation with GGA-PBE was carried out for a relaxed structure of BaSb2IBr.

```
data_BaSb2IBr
_chemical_formula_sum 'Ba1 Sb2 I1 Br1'
_cell_length_a 5.421
_cell_length_b 5.421
_cell_length_c 7.110
_cell_angle_alpha 90.00
_cell_angle_beta 90.00
_cell_angle_gamma 90.00
_symmetry_space_group_name_H-M 'P 4/m m m'
_symmetry_Int_Tables_number 123
_symmetry_space_group_name_Hall '-P 4 2'
loop_
_atom_site_label
_atom_site_type_symbol
_atom_site_fract_x
_atom_site_fract_y
_atom_site_fract_z
Ba1 Ba 0.000 0.000 0.000
Sb1 Sb 0.000 0.500 0.500
I1 I 0.500 0.500 0.000
Br1 Br 0.500 0.500 0.500
```

So which one is most stable? That would be B, about 50.8 kJ/mol of atoms below the next structure.

--- A ---
A plane-wave DFT calculation with GGA-PBE was carried out for a relaxed structure of BaSe2IBr.

```
data_BaSe2IBr
_chemical_formula_sum 'Ba1 Se2 I1 Br1'
_cell_length_a 6.644
_cell_length_b 6.644
_cell_length_c 6.107
_cell_angle_alpha 90.00
_cell_angle_beta 90.00
_cell_angle_gamma 90.00
_symmetry_space_group_name_H-M 'P 4/m m m'
_symmetry_Int_Tables_number 123
_symmetry_space_group_name_Hall '-P 4 2'
loop_
_atom_site_label
_atom_site_type_symbol
_atom_site_fract_x
_atom_site_fract_y
_atom_site_fract_z
Ba1 Ba 0.000 0.000 0.000
Se1 Se 0.000 0.500 0.000
I1 I 0.500 0.500 0.500
Br1 Br 0.000 0.000 0.500
```

--- B ---
A plane-wave DFT calculation with GGA-PBE was carried out for a relaxed structure of BaSe2IBr.

```
data_BaSe2IBr
_chemical_formula_sum 'Ba1 Se2 I1 Br1'
_cell_length_a 5.572
_cell_length_b 5.572
_cell_length_c 5.666
_cell_angle_alpha 90.00
_cell_angle_beta 90.00
_cell_angle_gamma 90.00
_symmetry_space_group_name_H-M 'P 4/m m m'
_symmetry_Int_Tables_number 123
_symmetry_space_group_name_Hall '-P 4 2'
loop_
_atom_site_label
_atom_site_type_symbol
_atom_site_fract_x
_atom_site_fract_y
_atom_site_fract_z
Ba1 Ba 0.000 0.000 0.000
Se1 Se 0.000 0.500 0.500
I1 I 0.500 0.500 0.500
Br1 Br 0.500 0.500 0.000
```

So which one is most stable? That would be B, about 35.9 kJ/mol of atoms below the next structure.

--- A ---
A plane-wave DFT calculation with GGA-PBE was carried out for a relaxed structure of Ba2InBr.

```
data_Ba2InBr
_chemical_formula_sum 'Ba2 In1 Br1'
_cell_length_a 4.070
_cell_length_b 4.083
_cell_length_c 9.329
_cell_angle_alpha 90.00
_cell_angle_beta 94.12
_cell_angle_gamma 90.00
_symmetry_space_group_name_H-M 'P 1 2/m 1'
_symmetry_Int_Tables_number 10
loop_
_symmetry_equiv_pos_as_xyz
'x,y,z'
'-x,-y,-z'
'-x,y,-z'
'x,-y,z'
loop_
_atom_site_label
_atom_site_type_symbol
_atom_site_fract_x
_atom_site_fract_y
_atom_site_fract_z
Ba1 Ba 0.045 0.000 0.240
In1 In 0.500 0.500 0.000
Br1 Br 0.500 0.500 0.500
```

--- B ---
A plane-wave DFT calculation with GGA-PBE was carried out for a relaxed structure of Ba2InBr.

```
data_Ba2InBr
_chemical_formula_sum 'Ba4 In2 Br2'
_cell_length_a 4.867
_cell_length_b 4.867
_cell_length_c 14.363
_cell_angle_alpha 90.00
_cell_angle_beta 90.00
_cell_angle_gamma 90.00
_symmetry_space_group_name_H-M 'I -4 m 2'
_symmetry_Int_Tables_number 119
_symmetry_space_group_name_Hall 'I -4 -2'
loop_
_atom_site_label
_atom_site_type_symbol
_atom_site_fract_x
_atom_site_fract_y
_atom_site_fract_z
Ba1 Ba 0.000 0.000 0.000
Ba2 Ba 0.000 0.500 0.250
In1 In 0.000 0.000 0.500
Br1 Br 0.000 0.500 0.750
```

--- C ---
A plane-wave DFT calculation with GGA-PBE was carried out for a relaxed structure of Ba2InBr.

```
data_Ba2InBr
_chemical_formula_sum 'Ba4 In2 Br2'
_cell_length_a 5.195
_cell_length_b 6.775
_cell_length_c 9.411
_cell_angle_alpha 90.00
_cell_angle_beta 90.00
_cell_angle_gamma 90.00
_symmetry_space_group_name_H-M 'I m m m'
_symmetry_Int_Tables_number 71
_symmetry_space_group_name_Hall '-I 2 2'
loop_
_atom_site_label
_atom_site_type_symbol
_atom_site_fract_x
_atom_site_fract_y
_atom_site_fract_z
Ba1 Ba 0.000 0.000 0.227
In1 In 0.000 0.500 0.000
Br1 Br 0.000 0.500 0.500
```

So which one is most stable? That would be A, about 18.5 kJ/mol of atoms below the next structure.

--- A ---
A plane-wave DFT calculation with GGA-PBE was carried out for a relaxed structure of BaIn3Br.

```
data_BaIn3Br
_chemical_formula_sum 'Ba1 In3 Br1'
_cell_length_a 6.657
_cell_length_b 6.657
_cell_length_c 6.657
_cell_angle_alpha 90.00
_cell_angle_beta 90.00
_cell_angle_gamma 90.00
_symmetry_space_group_name_H-M 'P m -3 m'
_symmetry_Int_Tables_number 221
_symmetry_space_group_name_Hall '-P 4 2 3'
loop_
_atom_site_label
_atom_site_type_symbol
_atom_site_fract_x
_atom_site_fract_y
_atom_site_fract_z
Ba1 Ba 0.000 0.000 0.000
In1 In 0.000 0.000 0.500
Br1 Br 0.500 0.500 0.500
```

--- B ---
A plane-wave DFT calculation with GGA-PBE was carried out for a relaxed structure of BaIn3Br.

```
data_BaIn3Br
_chemical_formula_sum 'Ba1 In3 Br1'
_cell_length_a 5.880
_cell_length_b 5.880
_cell_length_c 5.880
_cell_angle_alpha 90.00
_cell_angle_beta 90.00
_cell_angle_gamma 90.00
_symmetry_space_group_name_H-M 'P m -3 m'
_symmetry_Int_Tables_number 221
_symmetry_space_group_name_Hall '-P 4 2 3'
loop_
_atom_site_label
_atom_site_type_symbol
_atom_site_fract_x
_atom_site_fract_y
_atom_site_fract_z
Ba1 Ba 0.000 0.000 0.000
In1 In 0.000 0.500 0.500
Br1 Br 0.500 0.500 0.500
```

So which one is most stable? That would be B, about 60.3 kJ/mol of atoms below the next structure.